[1]
This record from Alexandria via LeMat-Bulk describes a PBEsol-optimized structure of K2NaAsH. The functional is SCAN.

Structure (extended XYZ):
```
5
Lattice="6.3448 0.0000 0.0000 0.0000 6.3448 0.0000 0.0000 0.0000 4.9989" Properties=species:S:1:pos:R:3 pbc="T T T"
K 0.0000 3.1724 0.0000
K 3.1724 0.0000 0.0000
Na 0.0000 0.0000 0.0000
As 0.0000 0.0000 2.4995
H 3.1724 3.1724 2.4995
```

Output
Electronic total energy (eV per atom): -8.60

***

[2]
This record from Alexandria via LeMat-Bulk describes a PBEsol-optimized structure of KScAs2H2O8. The functional is SCAN.

Structure (extended XYZ):
```
28
Lattice="4.2427 -5.2964 0.0000 4.2427 5.2964 0.0000 -3.1048 0.0000 8.6145" Properties=species:S:1:pos:R:3 pbc="T T T"
K 2.1213 2.6482 0.0000
K 0.5689 -2.6482 4.3073
Sc 1.9141 3.7615 6.4609
Sc 3.4665 -3.7615 2.1536
As -0.0943 0.9854 5.4957
As 1.4581 -0.9854 1.1884
As 3.9225 0.9854 7.4261
As 5.4749 -0.9854 3.1188
H 1.1758 0.0904 3.8234
H -0.3767 -0.0904 8.1306
H 5.7572 0.0904 0.4839
H 4.2048 -0.0904 4.7911
O 2.2553 3.8564 4.3970
O 0.4216 2.3625 6.3322
O 0.6962 0.0018 2.3537
O -0.8562 -0.0018 6.6609
O 1.5728 3.8564 8.5247
O 1.2542 0.0806 4.8547
O 2.8066 -0.0806 0.5475
O 3.4065 2.3625 6.5896
O 1.9740 -2.3625 2.0250
O 2.5740 0.0806 8.0670
O 4.1264 -0.0806 3.7598
O 3.8078 -3.8564 0.0898
O 6.2368 0.0018 1.9536
O 4.6844 -0.0018 6.2609
O 4.9589 -2.3625 2.2823
O 3.1252 -3.8564 4.2175
```

Output
Electronic total energy (eV per atom): -10.46

***

[3]
This record from Alexandria via LeMat-Bulk describes a PBEsol-optimized structure of KSrAsH16O12. The functional is SCAN.

Structure (extended XYZ):
```
62
Lattice="-3.5370 3.5370 11.7202 3.5370 -3.5370 11.7202 3.5370 3.5370 -11.7202" Properties=species:S:1:pos:R:3 pbc="T T T"
K 0.0000 0.0000 0.0000
K 0.0000 3.5370 5.8601
Sr 0.0000 3.5370 2.1152
Sr 0.0000 0.0000 19.6955
As 3.5370 0.0000 3.9086
As 0.0000 0.0000 9.7687
H 2.7453 2.5173 -7.5833
H 4.3287 2.5173 -7.5833
H 2.5173 0.7917 -1.7233
H 4.5567 0.7917 -1.7233
H 2.0652 -1.2170 6.1021
H 5.0088 -1.2170 6.1021
H 1.9121 2.3564 -4.1120
H 1.6249 -1.1806 7.6081
H 0.7932 2.5476 -2.2862
H 2.7438 -0.9894 9.4339
H 2.3200 2.0652 0.2420
H 4.7540 2.0652 0.2420
H 2.3564 1.6249 1.7481
H 4.7176 1.6249 1.7481
H -0.7917 1.0197 4.1368
H 0.7917 1.0197 4.1368
H 2.0652 1.2170 6.1021
H 5.0088 1.2170 6.1021
H 1.9121 4.7176 -4.1120
H 1.6249 1.1806 7.6081
H 2.5476 2.7438 3.5739
H 0.9894 -0.7932 15.2940
H 0.7932 4.5264 -2.2862
H 2.7438 0.9894 9.4339
H -1.2170 1.4718 11.9622
H 1.2170 1.4718 11.9622
H 2.5476 4.3302 3.5739
H 0.9894 0.7932 15.2940
H -1.0197 2.7453 9.9969
H 1.0197 2.7453 9.9969
H -1.1806 1.9121 13.4682
H 1.1806 1.9121 13.4682
O 1.6368 1.7185 -4.8351
O 1.9002 -1.8185 6.8851
O 3.5370 -1.5523 9.6513
O 2.1047 0.0000 4.8577
O 4.9693 0.0000 4.8577
O 3.5370 2.1047 -1.0024
O 1.7185 1.9002 1.0250
O 1.8185 -1.6368 12.7451
O 3.5370 1.4288 2.9535
O 2.1082 3.5370 -2.9066
O 1.4288 0.0000 8.8135
O 0.0000 1.5334 3.8204
O 1.6368 5.3555 -4.8351
O 1.9002 1.8185 6.8851
O 3.5370 1.5523 9.6513
O 0.0000 1.4323 10.7178
O 1.9847 3.5370 3.7913
O 1.5523 0.0000 15.5114
O 1.7185 5.1738 1.0250
O 1.8185 1.6368 12.7451
O -1.5334 3.5370 9.6805
O 1.5334 3.5370 9.6805
O 0.0000 2.1082 14.6736
O 0.0000 5.5406 3.8204
```

Output
Electronic total energy (eV per atom): -7.18

***

[4]
This record from Alexandria via LeMat-Bulk describes a PBEsol-optimized structure of La2AsH2. The functional is SCAN.

Structure (extended XYZ):
```
10
Lattice="3.8310 0.0000 0.0000 0.0000 3.8310 0.0000 0.0000 0.0000 12.4062" Properties=species:S:1:pos:R:3 pbc="T T T"
La 0.0000 0.0000 1.6562
La 0.0000 0.0000 10.7500
La 1.9155 1.9155 4.5469
La 1.9155 1.9155 7.8593
As 0.0000 0.0000 6.2031
As 1.9155 1.9155 0.0000
H 0.0000 1.9155 3.1015
H 0.0000 1.9155 9.3046
H 1.9155 0.0000 3.1015
H 1.9155 0.0000 9.3046
```

Output
Electronic total energy (eV per atom): -23.72

***

[5]
This record from Alexandria via LeMat-Bulk describes a PBEsol-optimized structure of La2As2H. The functional is SCAN.

Structure (extended XYZ):
```
10
Lattice="7.4066 0.0000 0.0000 0.0000 7.4066 0.0000 0.0000 0.0000 4.2541" Properties=species:S:1:pos:R:3 pbc="T T T"
La 1.3734 2.3299 0.0000
La 2.3299 6.0332 0.0000
La 5.0766 1.3734 0.0000
La 6.0332 5.0766 0.0000
As 0.8710 4.5743 2.1270
As 2.8323 0.8710 2.1270
As 4.5743 6.5355 2.1270
As 6.5355 2.8323 2.1270
H 0.0000 0.0000 0.0000
H 3.7033 3.7033 0.0000
```

Output
Electronic total energy (eV per atom): -27.17

***

[6]
This record from Alexandria via LeMat-Bulk describes a PBEsol-optimized structure of LaAsHSe2. The functional is SCAN.

Structure (extended XYZ):
```
5
Lattice="5.7012 0.0000 0.0000 0.0000 5.7012 0.0000 0.0000 0.0000 5.9542" Properties=species:S:1:pos:R:3 pbc="T T T"
La 0.0000 0.0000 0.0000
As 0.0000 0.0000 2.9771
H 2.8506 2.8506 2.9771
Se 0.0000 2.8506 0.0000
Se 2.8506 0.0000 0.0000
```

Output
Electronic total energy (eV per atom): -21.00

***

[7]
This record from Alexandria via LeMat-Bulk describes a PBEsol-optimized structure of Li2AsH2. The functional is SCAN.

Structure (extended XYZ):
```
10
Lattice="6.4635 0.0000 0.0000 0.0000 6.4635 0.0000 0.0000 0.0000 2.8168" Properties=species:S:1:pos:R:3 pbc="T T T"
Li 1.4055 1.8262 0.0000
Li 1.8262 5.0580 0.0000
Li 4.6373 1.4055 0.0000
Li 5.0580 4.6373 0.0000
As 0.0000 0.0000 1.4084
As 3.2318 3.2318 1.4084
H 0.2811 3.5128 1.4084
H 2.9507 0.2811 1.4084
H 3.5128 6.1825 1.4084
H 6.1825 2.9507 1.4084
```

Output
Electronic total energy (eV per atom): -6.69

***

[8]
This record from Alexandria via LeMat-Bulk describes a PBEsol-optimized structure of Li3AsH36Se4N12. The functional is SCAN.

Structure (extended XYZ):
```
56
Lattice="-5.1272 5.1272 5.1272 5.1272 -5.1272 5.1272 5.1272 5.1272 -5.1272" Properties=species:S:1:pos:R:3 pbc="T T T"
Li 5.1272 0.0000 0.0000
Li 0.0000 5.1272 0.0000
Li 0.0000 0.0000 5.1272
As 0.0000 0.0000 0.0000
H 7.2435 0.9198 -0.9198
H 7.2435 -0.9198 0.9198
H 6.2777 2.2424 -1.0950
H 6.2777 -1.0950 2.2424
H 4.0322 2.8848 -1.1505
H 4.0322 -1.1505 2.8848
H 3.0109 0.9198 0.9198
H 4.2073 4.2073 -2.1163
H 4.2073 -2.1163 4.2073
H 2.8848 4.0322 -1.1505
H 2.8848 -1.1505 4.0322
H 3.9767 2.2424 1.0950
H 3.9767 1.0950 2.2424
H 0.9198 3.0109 0.9198
H 0.9198 0.9198 3.0109
H 6.2222 2.8848 1.1505
H 6.2222 1.1505 2.8848
H 2.2424 3.9767 1.0950
H 2.2424 1.0950 3.9767
H 2.2424 6.2777 -1.0950
H 2.2424 -1.0950 6.2777
H 1.0950 3.9767 2.2424
H 1.0950 2.2424 3.9767
H 0.9198 7.2435 -0.9198
H 0.9198 -0.9198 7.2435
H -1.1505 4.0322 2.8848
H -1.1505 2.8848 4.0322
H 2.8848 6.2222 1.1505
H 2.8848 1.1505 6.2222
H -0.9198 7.2435 0.9198
H -0.9198 0.9198 7.2435
H -2.1163 4.2073 4.2073
H -1.0950 6.2777 2.2424
H -1.0950 2.2424 6.2777
H 1.1505 6.2222 2.8848
H 1.1505 2.8848 6.2222
Se 1.3443 1.3443 -1.3443
Se 1.3443 -1.3443 1.3443
Se -1.3443 1.3443 1.3443
Se 3.7829 3.7829 3.7829
N 6.3010 1.2232 -1.2232
N 6.3010 -1.2232 1.2232
N 3.9534 1.2232 1.2232
N 3.9040 3.9040 -1.1738
N 3.9040 -1.1738 3.9040
N 1.2232 6.3010 -1.2232
N 1.2232 -1.2232 6.3010
N 1.2232 3.9534 1.2232
N 1.2232 1.2232 3.9534
N -1.2232 6.3010 1.2232
N -1.2232 1.2232 6.3010
N -1.1738 3.9040 3.9040
```

Output
Electronic total energy (eV per atom): -6.59

***

[9]
This record from Alexandria via LeMat-Bulk describes a PBEsol-optimized structure of LiAs2H3O7. The functional is SCAN.

Structure (extended XYZ):
```
26
Lattice="5.6727 -4.5513 0.0000 5.6727 4.5513 0.0000 -2.4571 0.0000 5.0634" Properties=species:S:1:pos:R:3 pbc="T T T"
Li 5.6727 3.1300 0.0000
Li 5.6727 -3.1300 0.0000
As 3.0044 0.0000 0.2019
As 4.4442 1.4362 2.5317
As 4.4442 -1.4362 2.5317
As 5.8840 0.0000 4.8615
H 2.9273 3.2494 2.4404
H 5.9611 3.2494 2.6229
H 1.9532 0.0000 3.3299
H 6.9352 0.0000 1.7335
H 2.9273 -3.2494 2.4404
H 5.9611 -3.2494 2.6229
O 1.3564 0.0000 0.3250
O 3.2228 2.5912 3.1359
O 3.8346 1.4338 0.7489
O 0.9102 0.0000 3.5457
O 5.6655 2.5912 1.9274
O 3.2988 0.0000 2.8717
O 5.0538 1.4338 4.3145
O 3.8346 -1.4338 0.7489
O 5.5896 0.0000 2.1917
O 3.2228 -2.5912 3.1359
O 7.9782 0.0000 1.5177
O 5.0538 -1.4338 4.3145
O 5.6655 -2.5912 1.9274
O 7.5320 0.0000 4.7384
```

Output
Electronic total energy (eV per atom): -8.82

***

[10]
This record from Alexandria via LeMat-Bulk describes a PBEsol-optimized structure of LiAsH2O4. The functional is SCAN.

Structure (extended XYZ):
```
32
Lattice="6.4470 0.0000 0.0000 0.0000 7.7306 0.0000 0.0000 0.0000 7.2309" Properties=species:S:1:pos:R:3 pbc="T T T"
Li 0.1294 1.6351 0.0000
Li 3.0941 5.5004 3.6154
Li 3.3529 2.2302 0.0000
Li 6.3176 6.0955 3.6154
As 1.2495 4.4754 5.9862
As 1.9741 0.6101 2.3708
As 4.4730 7.1204 5.9862
As 5.1976 3.2552 2.3708
H 0.0393 2.7946 4.8006
H 0.0637 6.7111 6.8582
H 3.1599 2.8458 3.2428
H 3.1842 6.6599 1.1851
H 3.2628 1.0706 4.8006
H 3.2872 4.8847 6.8582
H 6.3834 1.0194 3.2428
H 6.4077 4.9359 1.1851
O 0.4113 0.1129 2.9627
O 0.4441 2.9552 5.7890
O 0.4620 5.3722 7.1983
O 1.3963 5.3407 4.5603
O 1.8272 1.4754 0.9449
O 2.7616 1.5069 3.5829
O 2.7794 6.8205 2.1736
O 2.8122 3.9782 6.5781
O 3.6348 3.7524 2.9627
O 3.6676 0.9101 5.7890
O 3.6855 6.2237 7.1983
O 4.6198 6.2552 4.5603
O 5.0507 2.3899 0.9449
O 5.9851 2.3584 3.5829
O 6.0029 4.7754 2.1736
O 6.0357 7.6176 6.5781
```

Output
Electronic total energy (eV per atom): -8.27

***

[11]
This record from Alexandria via LeMat-Bulk describes a PBEsol-optimized structure of MgAsH2. The functional is SCAN.

Structure (extended XYZ):
```
16
Lattice="4.6891 0.0000 0.0000 0.0000 4.6891 0.0000 0.0000 0.0000 8.8897" Properties=species:S:1:pos:R:3 pbc="T T T"
Mg 0.0000 0.0000 0.0000
Mg 0.0000 2.3445 2.2224
Mg 2.3445 0.0000 6.6672
Mg 2.3445 2.3445 4.4448
As 0.0000 0.0000 4.4448
As 0.0000 2.3445 6.6672
As 2.3445 0.0000 2.2224
As 2.3445 2.3445 0.0000
H 0.9428 1.1723 1.1112
H 1.1723 3.2874 3.3336
H 1.1723 3.7462 7.7785
H 1.4017 1.1723 5.5560
H 3.2874 3.5168 5.5560
H 3.5168 0.9428 7.7785
H 3.5168 1.4017 3.3336
H 3.7462 3.5168 1.1112
```

Output
Electronic total energy (eV per atom): -7.66

***

[12]
This record from Alexandria via LeMat-Bulk describes a PBEsol-optimized structure of Mg3AsH. The functional is SCAN.

Structure (extended XYZ):
```
5
Lattice="5.0800 0.0000 0.0000 0.0000 5.0800 0.0000 0.0000 0.0000 5.0800" Properties=species:S:1:pos:R:3 pbc="T T T"
Mg 0.0000 0.0000 2.5400
Mg 0.0000 2.5400 0.0000
Mg 2.5400 0.0000 0.0000
As 0.0000 0.0000 0.0000
H 2.5400 2.5400 2.5400
```

Output
Electronic total energy (eV per atom): -7.25